KLa2ReN4 after structural relaxation, computed with PBE.

Calculated values
- Energy relative to the elements, uncorrected: -69.2 kJ/mol of atoms

Unit cell a=3.5463 b=13.3603 c=12.6497 alpha=90.00 beta=90.00 gamma=90.00
Space group Cmcm (No. 63)
Unique sites:
K 0.0000 0.0730 0.2500 x4
La 0.0000 0.3733 0.0364 x8
Re 0.0000 0.1920 0.7500 x4
N 0.0000 0.0000 0.0000 x4
N 0.0000 0.2570 0.6206 x8
N 0.0000 0.3777 0.2500 x4

KLaReN3 after structural relaxation, computed with PBE.

Calculated values
- Energy relative to the elements, uncorrected: -49.9 kJ/mol of atoms

Unit cell a=14.0499 b=3.9652 c=7.8635 alpha=90.00 beta=105.78 gamma=90.00
Space group C2/m (No. 12)
Unique sites:
K 0.1352 0.0000 0.0681 x4
La 0.1639 0.0000 0.5972 x4
Re 0.0062 0.5000 0.3328 x4
N 0.0101 0.0000 0.3301 x4
N 0.1290 0.5000 0.7940 x4
N 0.1515 0.5000 0.3678 x4

KLa2RuN after structural relaxation, computed with PBE.

Calculated values
- Energy relative to the elements, uncorrected: 199.0 kJ/mol of atoms

Unit cell a=5.4349 b=5.4349 c=4.3460 alpha=90.00 beta=90.00 gamma=90.00
Space group P4/mmm (No. 123)
Unique sites:
K 0.0000 0.0000 0.0000 x1
La 0.0000 0.5000 0.0000 x2
Ru 0.0000 0.0000 0.5000 x1
N 0.5000 0.5000 0.5000 x1

KLaSN2 after structural relaxation, computed with PBE.

Calculated values
- Energy relative to the elements, uncorrected: 101.7 kJ/mol of atoms
- Polymorph energy (0 for the lowest one): 851 meV per atom

Unit cell a=4.5819 b=4.5819 c=5.5072 alpha=90.00 beta=90.00 gamma=90.00
Space group P4/mmm (No. 123)
Unique sites:
K 0.0000 0.0000 0.0000 x1
La 0.5000 0.5000 0.5000 x1
S 0.0000 0.0000 0.5000 x1
N 0.0000 0.5000 0.0000 x2

KLaS2N after structural relaxation, computed with PBE.

Calculated values
- Energy relative to the elements, uncorrected: -39.2 kJ/mol of atoms
- Polymorph energy (0 for the lowest one): 0 meV per atom

Unit cell a=5.6202 b=5.6202 c=4.8717 alpha=90.00 beta=90.00 gamma=90.00
Space group P4/mmm (No. 123)
Unique sites:
K 0.0000 0.0000 0.0000 x1
La 0.5000 0.5000 0.5000 x1
S 0.0000 0.5000 0.5000 x2
N 0.5000 0.5000 0.0000 x1

KLaSN2 after structural relaxation, computed with PBE.

Calculated values
- Energy relative to the elements, uncorrected: 19.6 kJ/mol of atoms
- Polymorph energy (0 for the lowest one): 0 meV per atom

Unit cell a=4.8421 b=4.8421 c=5.7073 alpha=90.00 beta=90.00 gamma=90.00
Space group P4/mmm (No. 123)
Unique sites:
K 0.0000 0.0000 0.0000 x1
La 0.5000 0.5000 0.5000 x1
S 0.5000 0.5000 0.0000 x1
N 0.0000 0.5000 0.5000 x2

KLaS2N after structural relaxation, computed with PBE.

Calculated values
- Energy relative to the elements, uncorrected: 38.7 kJ/mol of atoms
- Polymorph energy (0 for the lowest one): 808 meV per atom

Unit cell a=5.3598 b=5.3598 c=4.5293 alpha=90.00 beta=90.00 gamma=90.00
Space group P4/mmm (No. 123)
Unique sites:
K 0.0000 0.0000 0.0000 x1
La 0.5000 0.5000 0.5000 x1
S 0.0000 0.5000 0.0000 x2
N 0.0000 0.0000 0.5000 x1

K2La4Se3N2 after structural relaxation, computed with PBE.

Calculated values
- Energy relative to the elements, uncorrected: -131.1 kJ/mol of atoms

Unit cell a=4.8984 b=4.8984 c=25.5231 alpha=90.00 beta=90.00 gamma=90.00
Space group I4/mmm (No. 139)
Unique sites:
K 0.0000 0.0000 0.2025 x4
La 0.0000 0.5000 0.0818 x8
Se 0.0000 0.0000 0.3358 x4
Se 0.0000 0.0000 0.5000 x2
N 0.0000 0.0000 0.0923 x4

Q: Look up the energy relative to the elements, uncorrected of the first one.
A: -69.2 kJ/mol of atoms

Copy entry 2 word for word.
KLaReN3 after structural relaxation, computed with PBE.

Calculated values
- Energy relative to the elements, uncorrected: -49.9 kJ/mol of atoms

Unit cell a=14.0499 b=3.9652 c=7.8635 alpha=90.00 beta=105.78 gamma=90.00
Space group C2/m (No. 12)
Unique sites:
K 0.1352 0.0000 0.0681 x4
La 0.1639 0.0000 0.5972 x4
Re 0.0062 0.5000 0.3328 x4
N 0.0101 0.0000 0.3301 x4
N 0.1290 0.5000 0.7940 x4
N 0.1515 0.5000 0.3678 x4

What did the fifth record say?
KLaS2N after structural relaxation, computed with PBE.

Calculated values
- Energy relative to the elements, uncorrected: -39.2 kJ/mol of atoms
- Polymorph energy (0 for the lowest one): 0 meV per atom

Unit cell a=5.6202 b=5.6202 c=4.8717 alpha=90.00 beta=90.00 gamma=90.00
Space group P4/mmm (No. 123)
Unique sites:
K 0.0000 0.0000 0.0000 x1
La 0.5000 0.5000 0.5000 x1
S 0.0000 0.5000 0.5000 x2
N 0.5000 0.5000 0.0000 x1